one) # LuCoCuSi (PBE-GGA, optimized geometry)
# Density ... 9.2 g cm⁻³
data_LuCoCuSi
_chemical_formula_sum 'Lu4 Co4 Cu4 Si4'
_symmetry_space_group_name_H-M 'F -4 3 m'
_symmetry_Int_Tables_number 216
_symmetry_space_group_name_Hall 'F -4 2 3'
_cell_length_a 6.1754
_cell_length_b 6.1754
_cell_length_c 6.1754
_cell_angle_alpha 90.00
_cell_angle_beta 90.00
_cell_angle_gamma 90.00
loop_
_atom_site_label
_atom_site_type_symbol
_atom_site_fract_x
_atom_site_fract_y
_atom_site_fract_z
Lu1 Lu 0.0000 0.0000 0.0000
Co1 Co 0.0000 0.0000 0.5000
Cu1 Cu 0.2500 0.2500 0.7500
Si1 Si 0.2500 0.2500 0.2500

two) # LuCoCuSi (PBE-GGA, optimized geometry)
# Density ... 9.5 g cm⁻³
data_LuCoCuSi
_chemical_formula_sum 'Lu4 Co4 Cu4 Si4'
_symmetry_space_group_name_H-M 'F -4 3 m'
_symmetry_Int_Tables_number 216
_symmetry_space_group_name_Hall 'F -4 2 3'
_cell_length_a 6.1093
_cell_length_b 6.1093
_cell_length_c 6.1093
_cell_angle_alpha 90.00
_cell_angle_beta 90.00
_cell_angle_gamma 90.00
loop_
_atom_site_label
_atom_site_type_symbol
_atom_site_fract_x
_atom_site_fract_y
_atom_site_fract_z
Lu1 Lu 0.0000 0.0000 0.0000
Co1 Co 0.2500 0.2500 0.7500
Cu1 Cu 0.2500 0.2500 0.2500
Si1 Si 0.0000 0.0000 0.5000

three) # LuCoCuSi (PBE-GGA, optimized geometry)
# Density ... 8.8 g cm⁻³
data_LuCoCuSi
_chemical_formula_sum 'Lu4 Co4 Cu4 Si4'
_symmetry_space_group_name_H-M 'F -4 3 m'
_symmetry_Int_Tables_number 216
_symmetry_space_group_name_Hall 'F -4 2 3'
_cell_length_a 6.2547
_cell_length_b 6.2547
_cell_length_c 6.2547
_cell_angle_alpha 90.00
_cell_angle_beta 90.00
_cell_angle_gamma 90.00
loop_
_atom_site_label
_atom_site_type_symbol
_atom_site_fract_x
_atom_site_fract_y
_atom_site_fract_z
Lu1 Lu 0.0000 0.0000 0.0000
Co1 Co 0.2500 0.2500 0.7500
Cu1 Cu 0.0000 0.0000 0.5000
Si1 Si 0.2500 0.2500 0.2500

The computed energies, referenced to the most stable structure and given in meV/atom, are one) 112; two) 0; three) 271.

one) # LuCoCuSn (PBE-GGA, optimized geometry)
# Density ... 10.1 g cm⁻³
data_LuCoCuSn
_chemical_formula_sum 'Lu4 Co4 Cu4 Sn4'
_symmetry_space_group_name_H-M 'F -4 3 m'
_symmetry_Int_Tables_number 216
_symmetry_space_group_name_Hall 'F -4 2 3'
_cell_length_a 6.5016
_cell_length_b 6.5016
_cell_length_c 6.5016
_cell_angle_alpha 90.00
_cell_angle_beta 90.00
_cell_angle_gamma 90.00
loop_
_atom_site_label
_atom_site_type_symbol
_atom_site_fract_x
_atom_site_fract_y
_atom_site_fract_z
Lu1 Lu 0.0000 0.0000 0.0000
Co1 Co 0.0000 0.0000 0.5000
Cu1 Cu 0.2500 0.2500 0.7500
Sn1 Sn 0.2500 0.2500 0.2500

two) # LuCoCuSn (PBE-GGA, optimized geometry)
# Density ... 10.4 g cm⁻³
data_LuCoCuSn
_chemical_formula_sum 'Lu4 Co4 Cu4 Sn4'
_symmetry_space_group_name_H-M 'F -4 3 m'
_symmetry_Int_Tables_number 216
_symmetry_space_group_name_Hall 'F -4 2 3'
_cell_length_a 6.4326
_cell_length_b 6.4326
_cell_length_c 6.4326
_cell_angle_alpha 90.00
_cell_angle_beta 90.00
_cell_angle_gamma 90.00
loop_
_atom_site_label
_atom_site_type_symbol
_atom_site_fract_x
_atom_site_fract_y
_atom_site_fract_z
Lu1 Lu 0.0000 0.0000 0.0000
Co1 Co 0.2500 0.2500 0.7500
Cu1 Cu 0.2500 0.2500 0.2500
Sn1 Sn 0.0000 0.0000 0.5000

The computed energies, referenced to the most stable structure and given in meV/atom, are one) 222; two) 0.

one) # LuTaCoCu (PBE-GGA, optimized geometry)
# Density ... 12.3 g cm⁻³
data_LuTaCoCu
_chemical_formula_sum 'Lu4 Ta4 Co4 Cu4'
_symmetry_space_group_name_H-M 'F -4 3 m'
_symmetry_Int_Tables_number 216
_symmetry_space_group_name_Hall 'F -4 2 3'
_cell_length_a 6.3697
_cell_length_b 6.3697
_cell_length_c 6.3697
_cell_angle_alpha 90.00
_cell_angle_beta 90.00
_cell_angle_gamma 90.00
loop_
_atom_site_label
_atom_site_type_symbol
_atom_site_fract_x
_atom_site_fract_y
_atom_site_fract_z
Lu1 Lu 0.0000 0.0000 0.0000
Ta1 Ta 0.0000 0.0000 0.5000
Co1 Co 0.2500 0.2500 0.2500
Cu1 Cu 0.2500 0.2500 0.7500

two) # LuTaCoCu (PBE-GGA, optimized geometry)
# Density ... 12.8 g cm⁻³
data_LuTaCoCu
_chemical_formula_sum 'Lu4 Ta4 Co4 Cu4'
_symmetry_space_group_name_H-M 'F -4 3 m'
_symmetry_Int_Tables_number 216
_symmetry_space_group_name_Hall 'F -4 2 3'
_cell_length_a 6.2905
_cell_length_b 6.2905
_cell_length_c 6.2905
_cell_angle_alpha 90.00
_cell_angle_beta 90.00
_cell_angle_gamma 90.00
loop_
_atom_site_label
_atom_site_type_symbol
_atom_site_fract_x
_atom_site_fract_y
_atom_site_fract_z
Lu1 Lu 0.0000 0.0000 0.0000
Ta1 Ta 0.2500 0.2500 0.2500
Co1 Co 0.0000 0.0000 0.5000
Cu1 Cu 0.2500 0.2500 0.7500

The computed energies, referenced to the most stable structure and given in meV/atom, are one) 0; two) 206.

one) # LuTlCoCu (PBE-GGA, optimized geometry)
# Density ... 12.0 g cm⁻³
data_LuTlCoCu
_chemical_formula_sum 'Lu4 Tl4 Co4 Cu4'
_symmetry_space_group_name_H-M 'F -4 3 m'
_symmetry_Int_Tables_number 216
_symmetry_space_group_name_Hall 'F -4 2 3'
_cell_length_a 6.5181
_cell_length_b 6.5181
_cell_length_c 6.5181
_cell_angle_alpha 90.00
_cell_angle_beta 90.00
_cell_angle_gamma 90.00
loop_
_atom_site_label
_atom_site_type_symbol
_atom_site_fract_x
_atom_site_fract_y
_atom_site_fract_z
Lu1 Lu 0.0000 0.0000 0.0000
Tl1 Tl 0.0000 0.0000 0.5000
Co1 Co 0.2500 0.2500 0.7500
Cu1 Cu 0.2500 0.2500 0.2500

two) # LuTlCoCu (PBE-GGA, optimized geometry)
# Density ... 11.4 g cm⁻³
data_LuTlCoCu
_chemical_formula_sum 'Lu4 Tl4 Co4 Cu4'
_symmetry_space_group_name_H-M 'F -4 3 m'
_symmetry_Int_Tables_number 216
_symmetry_space_group_name_Hall 'F -4 2 3'
_cell_length_a 6.6290
_cell_length_b 6.6290
_cell_length_c 6.6290
_cell_angle_alpha 90.00
_cell_angle_beta 90.00
_cell_angle_gamma 90.00
loop_
_atom_site_label
_atom_site_type_symbol
_atom_site_fract_x
_atom_site_fract_y
_atom_site_fract_z
Lu1 Lu 0.0000 0.0000 0.0000
Tl1 Tl 0.2500 0.2500 0.2500
Co1 Co 0.2500 0.2500 0.7500
Cu1 Cu 0.0000 0.0000 0.5000

three) # LuTlCoCu (PBE-GGA, optimized geometry)
# Density ... 11.6 g cm⁻³
data_LuTlCoCu
_chemical_formula_sum 'Lu4 Tl4 Co4 Cu4'
_symmetry_space_group_name_H-M 'F -4 3 m'
_symmetry_Int_Tables_number 216
_symmetry_space_group_name_Hall 'F -4 2 3'
_cell_length_a 6.6005
_cell_length_b 6.6005
_cell_length_c 6.6005
_cell_angle_alpha 90.00
_cell_angle_beta 90.00
_cell_angle_gamma 90.00
loop_
_atom_site_label
_atom_site_type_symbol
_atom_site_fract_x
_atom_site_fract_y
_atom_site_fract_z
Lu1 Lu 0.0000 0.0000 0.0000
Tl1 Tl 0.2500 0.2500 0.2500
Co1 Co 0.0000 0.0000 0.5000
Cu1 Cu 0.2500 0.2500 0.7500

The computed energies, referenced to the most stable structure and given in meV/atom, are one) 0; two) 199; three) 180.

one) # LuZnCoCu (PBE-GGA, optimized geometry)
# Density ... 9.7 g cm⁻³
data_LuZnCoCu
_chemical_formula_sum 'Lu4 Zn4 Co4 Cu4'
_symmetry_space_group_name_H-M 'F -4 3 m'
_symmetry_Int_Tables_number 216
_symmetry_space_group_name_Hall 'F -4 2 3'
_cell_length_a 6.2846
_cell_length_b 6.2846
_cell_length_c 6.2846
_cell_angle_alpha 90.00
_cell_angle_beta 90.00
_cell_angle_gamma 90.00
loop_
_atom_site_label
_atom_site_type_symbol
_atom_site_fract_x
_atom_site_fract_y
_atom_site_fract_z
Lu1 Lu 0.0000 0.0000 0.0000
Zn1 Zn 0.2500 0.2500 0.2500
Co1 Co 0.0000 0.0000 0.5000
Cu1 Cu 0.2500 0.2500 0.7500

two) # LuZnCoCu (PBE-GGA, optimized geometry)
# Density ... 10.0 g cm⁻³
data_LuZnCoCu
_chemical_formula_sum 'Lu4 Zn4 Co4 Cu4'
_symmetry_space_group_name_H-M 'F -4 3 m'
_symmetry_Int_Tables_number 216
_symmetry_space_group_name_Hall 'F -4 2 3'
_cell_length_a 6.2321
_cell_length_b 6.2321
_cell_length_c 6.2321
_cell_angle_alpha 90.00
_cell_angle_beta 90.00
_cell_angle_gamma 90.00
loop_
_atom_site_label
_atom_site_type_symbol
_atom_site_fract_x
_atom_site_fract_y
_atom_site_fract_z
Lu1 Lu 0.0000 0.0000 0.0000
Zn1 Zn 0.0000 0.0000 0.5000
Co1 Co 0.2500 0.2500 0.7500
Cu1 Cu 0.2500 0.2500 0.2500

The computed energies, referenced to the most stable structure and given in meV/atom, are one) 106; two) 0.

one) # Mg2CoCu5 (PBE-GGA, optimized geometry)
# Density ... 6.9 g cm⁻³
data_Mg2CoCu5
_chemical_formula_sum 'Mg2 Co1 Cu5'
_symmetry_space_group_name_H-M 'P 4/m m m'
_symmetry_Int_Tables_number 123
_symmetry_space_group_name_Hall '-P 4 2'
_cell_length_a 4.1547
_cell_length_b 4.1547
_cell_length_c 5.9345
_cell_angle_alpha 90.00
_cell_angle_beta 90.00
_cell_angle_gamma 90.00
loop_
_atom_site_label
_atom_site_type_symbol
_atom_site_fract_x
_atom_site_fract_y
_atom_site_fract_z
Mg1 Mg 0.0000 0.0000 0.0000
Mg2 Mg 0.5000 0.5000 0.5000
Co1 Co 0.0000 0.0000 0.5000
Cu1 Cu 0.0000 0.5000 0.2555
Cu2 Cu 0.5000 0.5000 0.0000

two) # Mg2CoCu5 (PBE-GGA, optimized geometry)
# Density ... 6.9 g cm⁻³
data_Mg2CoCu5
_chemical_formula_sum 'Mg2 Co1 Cu5'
_symmetry_space_group_name_H-M 'P 4/m m m'
_symmetry_Int_Tables_number 123
_symmetry_space_group_name_Hall '-P 4 2'
_cell_length_a 4.1479
_cell_length_b 4.1479
_cell_length_c 5.9238
_cell_angle_alpha 90.00
_cell_angle_beta 90.00
_cell_angle_gamma 90.00
loop_
_atom_site_label
_atom_site_type_symbol
_atom_site_fract_x
_atom_site_fract_y
_atom_site_fract_z
Mg1 Mg 0.0000 0.0000 0.0000
Mg2 Mg 0.5000 0.5000 0.5000
Co1 Co 0.0000 0.0000 0.5000
Cu1 Cu 0.0000 0.5000 0.2555
Cu2 Cu 0.5000 0.5000 0.0000

The computed energies, referenced to the most stable structure and given in meV/atom, are one) 0; two) 5.